No. 1
A plane-wave DFT calculation with GGA-PBEsol was carried out for crystalline ZnBi2B2O7 at its relaxed geometry.

Summary:
* calculated total energy: -6.9047 eV/atom
* V: 12.0 Å³/atom
* N(E_F): 0.000 states/eV/cell
* formation energy from raw total energies: -1827 meV/atom

Lattice parameters (Å, degrees): 4.896 10.795 10.924 90.00 90.00 90.00
Positions (direct):
O 0.740 0.199 0.171
O 0.829 0.520 0.860
O 0.952 0.000 0.000
Zn 0.069 0.758 0.743
O 0.251 0.089 0.298
B 0.127 0.014 0.628
O 0.251 0.411 0.798
O 0.952 0.500 0.500
O 0.924 0.301 0.414
Zn 0.069 0.742 0.243
O 0.924 0.199 0.914
Zn 0.069 0.242 0.257
Bi 0.583 0.177 0.529
B 0.127 0.486 0.128
Zn 0.069 0.258 0.757
O 0.220 0.000 0.500
Bi 0.583 0.323 0.029
O 0.337 0.135 0.019
Bi 0.578 0.987 0.816
O 0.337 0.365 0.519
Bi 0.578 0.487 0.684
O 0.271 0.872 0.324
O 0.829 0.020 0.640
B 0.127 0.514 0.872
O 0.337 0.635 0.481
O 0.740 0.301 0.671
Bi 0.578 0.013 0.184
O 0.220 0.500 0.000
B 0.077 0.117 0.980
O 0.271 0.372 0.176
B 0.127 0.986 0.372
Bi 0.583 0.823 0.471
O 0.251 0.911 0.702
B 0.077 0.883 0.020
O 0.337 0.865 0.981
O 0.924 0.801 0.086
O 0.271 0.128 0.676
Bi 0.583 0.677 0.971
B 0.077 0.617 0.520
O 0.251 0.589 0.202
O 0.829 0.480 0.140
O 0.740 0.801 0.829
O 0.740 0.699 0.329
Bi 0.578 0.513 0.316
O 0.271 0.628 0.824
O 0.829 0.980 0.360
O 0.924 0.699 0.586
B 0.077 0.383 0.480

No. 2
A plane-wave DFT calculation with GGA-PBEsol was carried out for crystalline TaBiB2Os at its relaxed geometry.

Summary:
* calculated formation energy: 0.932 eV per atom
* calculated total energy: -7.6850 eV/atom
* V: 17.3 Å³/atom
* N(E_F): 2.717 states/eV/cell

Lattice parameters (Å, degrees): 4.121 4.121 5.106 90.00 90.00 90.00
Positions (direct):
Bi 0.500 0.500 0.500
B 0.500 0.000 0.000
B 0.000 0.500 0.000
Ta 0.000 0.000 0.500
Os 0.000 0.000 0.000

No. 3
A plane-wave DFT calculation with GGA-PBEsol was carried out for crystalline BiB2P at its relaxed geometry.

Summary:
* calculated formation energy: 1.631 eV per atom
* calculated total energy: -4.3965 eV/atom
* V: 14.3 Å³/atom
* N(E_F): 1.630 states/eV/cell

Lattice parameters (Å, degrees): 4.325 4.325 4.325 60.00 60.00 60.00
Positions (direct):
Bi 0.500 0.500 0.500
B 0.250 0.250 0.250
P 0.000 0.000 0.000
B 0.750 0.750 0.750

No. 4
A plane-wave DFT calculation with GGA-PBEsol was carried out for crystalline Bi2BTePd at its relaxed geometry.

Summary:
* calculated total energy: -3.8106 eV/atom
* V: 29.0 Å³/atom
* N(E_F): 3.810 states/eV/cell
* formation energy from raw total energies: 1204 meV/atom

Lattice parameters (Å, degrees): 5.206 5.281 5.281 90.00 90.00 90.00
Positions (direct):
Bi 0.000 0.000 0.500
Te 0.500 0.000 0.000
Pd 0.000 0.000 0.000
B 0.500 0.500 0.500
Bi 0.000 0.500 0.000